(1)
The following is a DFT calculation (GGA-PBE) of a relaxed structure of Rb2HfTlBr6.

```
10
Lattice="0.0000 5.8056 5.8056 5.8056 0.0000 5.8056 5.8056 5.8056 0.0000" Properties=species:S:1:pos:R:3 pbc="T T T"
Rb 2.9028 2.9028 2.9028
Rb 8.7084 8.7084 8.7084
Hf 0.0000 0.0000 0.0000
Tl 5.8056 5.8056 5.8056
Br 5.8056 5.8056 2.6603
Br 5.8056 2.6603 5.8056
Br 8.9508 5.8056 5.8056
Br 2.6603 5.8056 5.8056
Br 5.8056 8.9508 5.8056
Br 5.8056 5.8056 8.9508
```

Results
Crystal system   cubic
Final energy   -3.741 eV/atom

---

(2)
The following is a DFT calculation (GGA-PBE) of a relaxed structure of HfTlZn.

```
12
Lattice="6.6432 0.0000 0.0000 0.0000 6.6432 0.0000 0.0000 0.0000 6.6432" Properties=species:S:1:pos:R:3 pbc="T T T"
Hf 0.0000 0.0000 0.0000
Hf 0.0000 3.3216 3.3216
Hf 3.3216 0.0000 3.3216
Hf 3.3216 3.3216 0.0000
Tl 1.6608 1.6608 4.9824
Tl 1.6608 4.9824 1.6608
Tl 4.9824 1.6608 1.6608
Tl 4.9824 4.9824 4.9824
Zn 1.6608 1.6608 1.6608
Zn 1.6608 4.9824 4.9824
Zn 4.9824 1.6608 4.9824
Zn 4.9824 4.9824 1.6608
```

Results
Distance to the lowest polymorph of the same formula   0.0 meV/atom
Crystal system   cubic
Final energy   -4.066 eV/atom

---

(3)
The following is a DFT calculation (GGA-PBE) of a relaxed structure of CsTaTe.

```
12
Lattice="7.4345 0.0000 0.0000 0.0000 7.4345 0.0000 0.0000 0.0000 7.4345" Properties=species:S:1:pos:R:3 pbc="T T T"
Cs 0.0000 0.0000 0.0000
Cs 0.0000 3.7173 3.7173
Cs 3.7173 0.0000 3.7173
Cs 3.7173 3.7173 0.0000
Ta 1.8586 1.8586 1.8586
Ta 1.8586 5.5759 5.5759
Ta 5.5759 1.8586 5.5759
Ta 5.5759 5.5759 1.8586
Te 0.0000 0.0000 3.7173
Te 0.0000 3.7173 0.0000
Te 3.7173 0.0000 0.0000
Te 3.7173 3.7173 3.7173
```

Results
Distance to the lowest polymorph of the same formula   0.0 meV/atom
Crystal system   cubic
Final energy   -4.076 eV/atom

---

(4)
The following is a DFT calculation (GGA-PBE) of a relaxed structure of Gd2Ga.

```
12
Lattice="6.5843 0.0000 0.0000 0.0000 4.9857 0.0000 0.0000 0.0000 9.5807" Properties=species:S:1:pos:R:3 pbc="T T T"
Gd 0.2397 1.2464 1.9253
Gd 1.1701 1.2464 5.4704
Gd 2.1220 3.7392 0.6801
Gd 3.0524 3.7392 6.7157
Gd 3.5319 1.2464 2.8651
Gd 4.4623 1.2464 8.9007
Gd 5.4142 3.7392 4.1103
Gd 6.3446 3.7392 7.6554
Ga 1.3699 1.2464 8.5295
Ga 1.9223 3.7392 3.7391
Ga 4.6621 1.2464 5.8416
Ga 5.2144 3.7392 1.0512
```

Results
Crystal system   orthorhombic
Final energy   -4.531 eV/atom

---

(5)
The following is a DFT calculation (GGA-PBE) of a relaxed structure of HfCoIr2.

```
16
Lattice="6.2660 0.0000 0.0000 0.0000 6.2660 0.0000 0.0000 0.0000 6.2660" Properties=species:S:1:pos:R:3 pbc="T T T"
Hf 0.0000 0.0000 0.0000
Hf 0.0000 3.1330 3.1330
Hf 3.1330 0.0000 3.1330
Hf 3.1330 3.1330 0.0000
Co 1.5665 1.5665 1.5665
Co 1.5665 4.6995 4.6995
Co 4.6995 1.5665 4.6995
Co 4.6995 4.6995 1.5665
Ir 0.0000 0.0000 3.1330
Ir 0.0000 3.1330 0.0000
Ir 1.5665 1.5665 4.6995
Ir 1.5665 4.6995 1.5665
Ir 3.1330 0.0000 0.0000
Ir 3.1330 3.1330 3.1330
Ir 4.6995 1.5665 1.5665
Ir 4.6995 4.6995 4.6995
```

Results
Crystal system   cubic
Final energy   -8.871 eV/atom

---

(6)
The following is a DFT calculation (GGA-PBE) of a relaxed structure of HoBiAsO.

```
8
Lattice="4.8988 0.0000 0.0000 0.0000 6.4244 0.0000 0.0000 0.0000 6.4226" Properties=species:S:1:pos:R:3 pbc="T T T"
Ho 0.0000 1.0032 0.0000
Ho 0.0000 5.4212 3.2113
Bi 2.4494 1.5793 2.4236
Bi 2.4494 4.8451 5.6348
As 2.4494 2.0050 5.3757
As 2.4494 4.4194 2.1645
O 0.0000 0.8385 2.1391
O 0.0000 5.5859 5.3504
```

Results
Distance to the lowest polymorph of the same formula   132.0 meV/atom
Crystal system   orthorhombic
Final energy   -5.771 eV/atom

---

(7)
The following is a DFT calculation (GGA-PBE) of a relaxed structure of DyY2Tm4Ni2Se2.

```
11
Lattice="-1.8895 7.4797 4.6068 1.8895 -7.4797 4.6068 1.8895 7.4797 -4.6068" Properties=species:S:1:pos:R:3 pbc="T T T"
Dy 0.0000 0.0000 0.0000
Y 0.0000 5.3707 2.3634
Y 0.0000 9.5887 2.3634
Tm 1.8895 5.5982 -0.8158
Tm 1.8895 2.7353 1.0764
Tm 0.0000 1.8815 3.7910
Tm 0.0000 4.7444 5.6832
Ni 1.8895 -3.8815 3.9235
Ni 1.8895 3.8815 3.9235
Se 1.8895 0.0000 2.3845
Se 0.0000 0.0000 6.0567
```

Results
Crystal system   orthorhombic
Final energy   -5.689 eV/atom

---

(8)
The following is a DFT calculation (GGA-PBE) of a relaxed structure of BaSr2IrO6.

```
20
Lattice="5.9120 0.0000 0.0000 0.0000 6.1817 0.0000 -5.7475 0.0000 8.4877" Properties=species:S:1:pos:R:3 pbc="T T T"
Ba 0.0000 0.0000 0.0000
Ba -2.8737 3.0909 4.2438
Sr -2.7061 0.3636 6.3594
Sr 0.1676 2.7272 2.1155
Sr -0.0031 3.4545 6.3721
Sr 2.8706 5.8181 2.1283
Ir 0.0823 0.0000 4.2438
Ir 2.9560 3.0909 0.0000
O -0.7037 0.3696 2.4850
O -3.5774 2.7212 6.7289
O 1.3998 4.1380 0.5008
O -1.4740 5.1345 4.7447
O 2.0657 1.4707 0.6697
O -0.8080 1.6201 4.9135
O 0.9726 4.5616 3.5741
O -1.9012 4.7110 7.8179
O 1.6385 1.0472 3.7430
O -1.2352 2.0437 7.9868
O 3.7419 3.4605 1.7588
O 0.8682 5.8121 6.0026
```

Results
Crystal system   monoclinic
Final energy   -6.361 eV/atom

---

| no. | total magnetic moment (μB/f.u.) |
| --- | --- |
| 1 | 1.00 |
| 2 | 0.00 |
| 3 | 3.42 |
| 4 | 0.00 |
| 5 | 2.42 |
| 6 | 0.00 |
| 7 | 0.00 |
| 8 | 3.00 |